(1)
Below is an optimized crystal structure of BaY2Fe, with properties calculated at the GGA-PBE level.

The space group is Fm-3m (No. 225) and the conventional cell measures 7.529, 7.529 and 7.529 Å, with angles of 90.00, 90.00 and 90.00 degrees. The asymmetric unit holds Ba at (0.000, 0.000, 0.000), Y at (0.250, 0.250, 0.250) and Fe at (0.000, 0.000, 0.500).

The total energy comes out at -5.14 eV/atom. The energy above the most stable polymorph in this dataset comes out at 497 meV per atom. Its energy relative to the elements is 0.6872 eV/atom.

(2)
Below is an optimized crystal structure of Ba2YFe, with properties calculated at the GGA-PBE level.

The space group is Pm (No. 6) and the conventional cell measures 3.836, 3.833 and 10.137 Å, with angles of 90.00, 90.06 and 90.00 degrees. The asymmetric unit holds Ba at (0.000, 0.000, 0.000), Ba at (0.497, 0.500, 0.367), Y at (0.498, 0.500, 0.707) and Fe at (0.997, 0.000, 0.590).

The total energy comes out at -4.36 eV/atom. The energy above the most stable polymorph in this dataset comes out at 0 meV per atom. Its energy relative to the elements is 0.3347 eV/atom.

What did the first record say?
Below is an optimized crystal structure of BaY2Fe, with properties calculated at the GGA-PBE level.

The space group is Fm-3m (No. 225) and the conventional cell measures 7.529, 7.529 and 7.529 Å, with angles of 90.00, 90.00 and 90.00 degrees. The asymmetric unit holds Ba at (0.000, 0.000, 0.000), Y at (0.250, 0.250, 0.250) and Fe at (0.000, 0.000, 0.500).

The total energy comes out at -5.14 eV/atom. The energy above the most stable polymorph in this dataset comes out at 497 meV per atom. Its energy relative to the elements is 0.6872 eV/atom.

Question: Which value of energy relative to the elements does entry 1 give?
Answer: 0.6872 eV/atom

Question: energy relative to the elements of number 2 (Ba2YFe)?
Answer: 0.3347 eV/atom

Question: Among the records above, which one has the lowest energy relative to the elements?
Answer: Ba2YFe